Pb2IOF | PBE | optimized geometry

final energy: -4.585 eV/atom
total moment: 0.0 μB/f.u.
D(E_F): 0.0 states/eV/cell
ΔE_f (raw): -1425 meV per atom

Unit cell a=7.524 b=7.524 c=6.023 alpha=90.00 beta=90.00 gamma=133.11
Fractional coordinates of all 10 atoms:
1 Pb 0.092 0.908 0.781
2 Pb 0.408 0.592 0.781
3 Pb 0.592 0.408 0.219
4 Pb 0.908 0.092 0.219
5 I 0.250 0.750 0.239
6 I 0.750 0.250 0.761
7 O 0.250 0.250 0.000
8 O 0.750 0.750 0.000
9 F 0.250 0.250 0.500
10 F 0.750 0.750 0.500

***

ZnIBr2 | PBE | optimized geometry

final energy: -2.018 eV/atom
total moment: 0.0 μB/f.u.
relative energy among the computed polymorphs: 3.72 kcal/mol of atoms
D(E_F): 1.8 states/eV/cell
ΔE_f (raw): -475 meV per atom

Unit cell a=13.128 b=13.128 c=13.128 alpha=16.09 beta=16.09 gamma=16.09
Fractional coordinates of all 4 atoms:
1 Zn 0.000 0.000 0.000
2 I 0.500 0.500 0.500
3 Br 0.373 0.373 0.373
4 Br 0.627 0.627 0.627

***

TaTe3Cl | PBE | optimized geometry

final energy: -3.244 eV/atom
total moment: 0.0 μB/f.u.
relative energy among the computed polymorphs: 36.03 kcal/mol of atoms
D(E_F): 7.3 states/eV/cell
ΔE_f (raw): 1381 meV per atom

Unit cell a=5.184 b=5.184 c=5.184 alpha=90.00 beta=90.00 gamma=90.00
Fractional coordinates of all 5 atoms:
1 Ta 0.000 0.000 0.000
2 Te 0.000 0.500 0.500
3 Te 0.500 0.000 0.500
4 Te 0.500 0.500 0.000
5 Cl 0.500 0.500 0.500

***

ScS | PBE | optimized geometry

final energy: -6.643 eV/atom
total moment: 0.5 μB/f.u.
D(E_F): 1.4 states/eV/cell
ΔE_f (raw): -1413 meV per atom

Unit cell a=6.873 b=6.873 c=6.873 alpha=109.47 beta=109.47 gamma=109.47
Fractional coordinates of all 8 atoms:
1 Sc 0.000 0.000 0.282
2 Sc 0.000 0.282 0.000
3 Sc 0.282 0.000 0.000
4 Sc 0.718 0.718 0.718
5 S 0.000 0.000 0.652
6 S 0.000 0.652 0.000
7 S 0.348 0.348 0.348
8 S 0.652 0.000 0.000

***

NbHgSb2Te | PBE | optimized geometry

final energy: -4.132 eV/atom
total moment: 0.0 μB/f.u.
relative energy among the computed polymorphs: 0.00 kcal/mol of atoms
D(E_F): 3.1 states/eV/cell
ΔE_f (raw): 220 meV per atom

Unit cell a=5.424 b=5.424 c=5.395 alpha=90.00 beta=90.00 gamma=90.00
Fractional coordinates of all 5 atoms:
1 Nb 0.000 0.000 0.000
2 Hg 0.500 0.500 0.500
3 Sb 0.000 0.500 0.000
4 Sb 0.500 0.000 0.000
5 Te 0.000 0.000 0.500

***

Tl2Cr2CoSe6 | PBE | optimized geometry

final energy: -5.137 eV/atom
total moment: 5.1 μB/f.u.
D(E_F): 4.4 states/eV/cell
ΔE_f (raw): -410 meV per atom

Unit cell a=6.354 b=6.354 c=7.947 alpha=98.51 beta=98.51 gamma=120.53
Fractional coordinates of all 11 atoms:
1 Tl 0.169 0.831 0.000
2 Tl 0.831 0.169 0.000
3 Cr 0.327 0.673 0.500
4 Cr 0.673 0.327 0.500
5 Co 0.000 0.000 0.500
6 Se 0.068 0.385 0.677
7 Se 0.258 0.258 0.328
8 Se 0.385 0.068 0.677
9 Se 0.615 0.932 0.323
10 Se 0.742 0.742 0.672
11 Se 0.932 0.615 0.323

***

TmZrTlAu | PBE | optimized geometry

final energy: -5.003 eV/atom
total moment: 1.0 μB/f.u.
D(E_F): 2.6 states/eV/cell
energy of formation: -0.337 eV/atom

Unit cell a=5.067 b=5.067 c=5.067 alpha=60.00 beta=60.00 gamma=60.00
Fractional coordinates of all 4 atoms:
1 Tm 0.000 0.000 0.000
2 Zr 0.500 0.500 0.500
3 Tl 0.750 0.750 0.750
4 Au 0.250 0.250 0.250

***

Sc2ZnCuSi | PBE | optimized geometry

final energy: -4.323 eV/atom
total moment: 0.0 μB/f.u.
D(E_F): 6.1 states/eV/cell
ΔE_f (raw): 369 meV per atom

Unit cell a=4.946 b=4.946 c=4.359 alpha=90.00 beta=90.00 gamma=90.00
Fractional coordinates of all 5 atoms:
1 Sc 0.000 0.500 0.000
2 Sc 0.500 0.000 0.000
3 Zn 0.000 0.000 0.000
4 Cu 0.000 0.000 0.500
5 Si 0.500 0.500 0.500

***

LiMgCd | PBE | optimized geometry

final energy: -1.635 eV/atom
total moment: 0.0 μB/f.u.
relative energy among the computed polymorphs: 0.60 kcal/mol of atoms
D(E_F): 1.1 states/eV/cell
energy of formation: -0.161 eV/atom

Unit cell a=4.808 b=4.808 c=2.981 alpha=90.00 beta=90.00 gamma=120.00
Fractional coordinates of all 3 atoms:
1 Li 0.000 0.000 0.000
2 Mg 0.333 0.667 0.659
3 Cd 0.667 0.333 0.262

***

Sm3Co4Cu2 | PBE | optimized geometry

final energy: -5.745 eV/atom
total moment: 1.9 μB/f.u.
D(E_F): 17.3 states/eV/cell
energy of formation: -0.104 eV/atom

Unit cell a=4.010 b=4.010 c=23.885 alpha=90.00 beta=90.00 gamma=120.00
Fractional coordinates of all 18 atoms:
1 Sm 0.000 0.000 0.083
2 Sm 0.000 0.000 0.250
3 Sm 0.000 0.000 0.412
4 Sm 0.000 0.000 0.588
5 Sm 0.000 0.000 0.750
6 Sm 0.000 0.000 0.917
7 Co 0.333 0.667 0.000
8 Co 0.333 0.667 0.166
9 Co 0.333 0.667 0.333
10 Co 0.333 0.667 0.667
11 Co 0.333 0.667 0.834
12 Co 0.667 0.333 0.000
13 Co 0.667 0.333 0.333
14 Co 0.667 0.333 0.667
15 Cu 0.333 0.667 0.500
16 Cu 0.667 0.333 0.167
17 Cu 0.667 0.333 0.500
18 Cu 0.667 0.333 0.833

***

Nd3Y2Er7 | PBE | optimized geometry

final energy: -4.841 eV/atom
total moment: 0.0 μB/f.u.
D(E_F): 18.0 states/eV/cell
energy of formation: 0.090 eV/atom

Unit cell a=6.340 b=3.520 c=17.511 alpha=90.00 beta=96.25 gamma=90.00
Fractional coordinates of all 12 atoms:
1 Nd 0.000 0.000 0.000
2 Nd 0.047 0.500 0.658
3 Nd 0.953 0.500 0.342
4 Y 0.445 0.000 0.326
5 Y 0.555 0.000 0.674
6 Er 0.230 0.500 0.165
7 Er 0.247 0.000 0.500
8 Er 0.275 0.000 0.835
9 Er 0.500 0.500 0.000
10 Er 0.725 0.000 0.165
11 Er 0.753 0.000 0.500
12 Er 0.770 0.500 0.835

***

Re2SbMo | PBE | optimized geometry

final energy: -9.536 eV/atom
total moment: 0.0 μB/f.u.
D(E_F): 2.3 states/eV/cell
ΔE_f (raw): 427 meV per atom

Unit cell a=5.311 b=5.311 c=5.311 alpha=144.61 beta=130.53 gamma=62.28
Fractional coordinates of all 4 atoms:
1 Re 0.000 0.000 0.000
2 Re 0.745 0.245 0.500
3 Sb 0.242 0.742 0.500
4 Mo 0.486 0.486 0.000

***

- Which value of D(E_F) does entry 12 give?
  2.3 states/eV/cell

***

Repeat the fifth record exactly.
NbHgSb2Te | PBE | optimized geometry

final energy: -4.132 eV/atom
total moment: 0.0 μB/f.u.
relative energy among the computed polymorphs: 0.00 kcal/mol of atoms
D(E_F): 3.1 states/eV/cell
ΔE_f (raw): 220 meV per atom

Unit cell a=5.424 b=5.424 c=5.395 alpha=90.00 beta=90.00 gamma=90.00
Fractional coordinates of all 5 atoms:
1 Nb 0.000 0.000 0.000
2 Hg 0.500 0.500 0.500
3 Sb 0.000 0.500 0.000
4 Sb 0.500 0.000 0.000
5 Te 0.000 0.000 0.500

***

- Look up the total moment of the first one.
  0.0 μB/f.u.